YAlAg: relaxed, PBE-GGA.

Values from the calculation:
Calculated volume, Å³/atom: 22.18
DOS at the Fermi energy, states/eV/f.u.: 2.0
Total energy, eV per formula unit: -14.1
Calculated density, g cm⁻³: 5.6

Lattice parameters (Å, degrees): 4.2316 4.2316 14.8658 90.00 90.00 90.00
With the nearest neighbours (Å) after each atom.
Space group I4/mmm (No. 139)
Symmetry-distinct sites (fractional):
Y 0.0000 0.0000 0.1656  5 Ag 3.07-3.18, 4 Al 3.25
Al 0.0000 0.5000 0.0000  4 Ag 2.77, 4 Al 2.99
Ag 0.0000 0.0000 0.3797  4 Al 2.77, 4 Y 3.07